# SrSb2W

An optimized crystal structure of SrSb2W (PBE-GGA, the Alexandria database).

a b c (Å): 3.399 6.349 10.209
angles (deg): 90.00 90.00 90.00
Space group Immm (No. 71)
Asymmetric unit:
Sr1 0.000 0.000 0.000 x2
Sb1 0.000 0.500 0.205 x4
W1 0.000 0.000 0.500 x2

Properties
**Magnetic moment**: 0.00 μB/f.u.
**Uncorrected formation energy**: 0.1856 eV per atom
**Calculated volume**: 27.54 Å³/atom
**Excess energy over the best structure of this formula in the dataset**: 194 meV per atom
**Total energy**: -5.53 eV/atom

# SrSb2W

An optimized crystal structure of SrSb2W (PBE-GGA, the Alexandria database).

a b c (Å): 7.209 7.209 7.209
angles (deg): 90.00 90.00 90.00
Space group Fm-3m (No. 225)
Asymmetric unit:
Sr1 0.000 0.000 0.000 x4
Sb1 0.250 0.250 0.250 x8
W1 0.000 0.000 0.500 x4

Properties
**Magnetic moment**: 0.05 μB/f.u.
**Uncorrected formation energy**: 0.3058 eV per atom
**Calculated volume**: 23.41 Å³/atom
**Excess energy over the best structure of this formula in the dataset**: 314 meV per atom
**Total energy**: -5.41 eV/atom

# SrSb2W

An optimized crystal structure of SrSb2W (PBE-GGA, the Alexandria database).

a b c (Å): 3.590 3.843 15.600
angles (deg): 90.00 90.00 90.00
Space group Imm2 (No. 44)
Asymmetric unit:
Sr1 0.000 0.000 0.000 x2
Sb1 0.000 0.000 0.371 x2
Sb2 0.000 0.500 0.171 x2
W1 0.000 0.500 0.741 x2

Properties
**Magnetic moment**: 0.31 μB/f.u.
**Uncorrected formation energy**: 0.0884 eV per atom
**Calculated volume**: 26.90 Å³/atom
**Excess energy over the best structure of this formula in the dataset**: 97 meV per atom
**Total energy**: -5.63 eV/atom

# SrSb2W

An optimized crystal structure of SrSb2W (PBE-GGA, the Alexandria database).

a b c (Å): 6.945 3.999 8.203
angles (deg): 90.00 106.44 90.00
Space group Cm (No. 8)
Asymmetric unit:
Sr1 0.000 0.000 0.000 x2
Sb1 0.069 0.500 0.706 x2
Sb2 0.271 0.500 0.310 x2
W1 0.171 0.000 0.512 x2

Properties
**Magnetic moment**: 0.00 μB/f.u.
**Uncorrected formation energy**: 0.0401 eV per atom
**Calculated volume**: 27.31 Å³/atom
**Excess energy over the best structure of this formula in the dataset**: 48 meV per atom
**Total energy**: -5.68 eV/atom

# SrSb2W

An optimized crystal structure of SrSb2W (PBE-GGA, the Alexandria database).

a b c (Å): 6.647 8.036 3.697
angles (deg): 90.00 99.81 90.00
Space group C2/m (No. 12)
Asymmetric unit:
Sr1 0.000 0.000 0.000 x2
Sb1 0.250 0.250 0.500 x4
W1 0.000 0.500 0.000 x2

Properties
**Magnetic moment**: 0.00 μB/f.u.
**Uncorrected formation energy**: 0.5069 eV per atom
**Calculated volume**: 24.32 Å³/atom
**Excess energy over the best structure of this formula in the dataset**: 515 meV per atom
**Total energy**: -5.21 eV/atom

# SrSb2W

An optimized crystal structure of SrSb2W (PBE-GGA, the Alexandria database).

a b c (Å): 5.154 3.998 11.802
angles (deg): 90.00 90.00 90.00
Space group Amm2 (No. 38)
Asymmetric unit:
Sr1 0.000 0.000 0.000 x2
Sb1 0.000 0.000 0.721 x2
Sb2 0.500 0.000 0.408 x2
W1 0.500 0.000 0.754 x2

Properties
**Magnetic moment**: 0.00 μB/f.u.
**Uncorrected formation energy**: 0.2396 eV per atom
**Calculated volume**: 30.40 Å³/atom
**Excess energy over the best structure of this formula in the dataset**: 248 meV per atom
**Total energy**: -5.48 eV/atom

# SrSb2W

An optimized crystal structure of SrSb2W (PBE-GGA, the Alexandria database).

a b c (Å): 6.604 7.860 3.749
angles (deg): 90.00 90.00 90.00
Space group Cmmm (No. 65)
Asymmetric unit:
Sr1 0.000 0.000 0.000 x2
Sb1 0.250 0.250 0.500 x4
W1 0.000 0.500 0.000 x2

Properties
**Magnetic moment**: 0.86 μB/f.u.
**Uncorrected formation energy**: 0.5093 eV per atom
**Calculated volume**: 24.33 Å³/atom
**Excess energy over the best structure of this formula in the dataset**: 517 meV per atom
**Total energy**: -5.21 eV/atom

# SrSb3W

An optimized crystal structure of SrSb3W (PBE-GGA, the Alexandria database).

a b c (Å): 5.357 5.357 5.357
angles (deg): 90.00 90.00 90.00
Space group Pm-3m (No. 221)
Asymmetric unit:
Sr1 0.000 0.000 0.000 x1
Sb1 0.000 0.500 0.500 x3
W1 0.500 0.500 0.500 x1

Properties
**Magnetic moment**: 0.00 μB/f.u.
**Uncorrected formation energy**: 0.1743 eV per atom
**Calculated volume**: 30.75 Å³/atom
**Excess energy over the best structure of this formula in the dataset**: 0 meV per atom
**Total energy**: -5.23 eV/atom